{
  "formula": "BaCr3F",
  "functional": "GGA+U",
  "state": "relaxed",
  "lattice": [[4.781, 0.000, 0.000], [0.000, 4.781, 0.000], [0.000, 0.000, 4.781]],
  "species": ["Ba", "Cr", "Cr", "Cr", "F"],
  "fractional_positions": [[0.000, 0.000, 0.000], [0.000, 0.500, 0.500], [0.500, 0.000, 0.500], [0.500, 0.500, 0.000], [0.500, 0.500, 0.500]],
  "m_tot_mub_per_fu": 4.73,
  "crystal_system": "cubic",
  "e_tot_ev_per_cell": -18.0
}